The following is a PBE-GGA calculation of an optimized crystal structure of PuHfNpO6, from Alexandria via LeMat-Bulk.

Calculated values
- symmetry = P-31c, No. 163
- theoretical density (g/cm³) = 9.55
- V (Å³/f.u.) = 131.4
- raw formation energy (eV per atom) = -3.115

The structure in POSCAR format:
```
PuHfNpO6
1.0
5.621 0.000 0.000
-2.811 4.868 0.000
0.000 0.000 9.603
Pu Hf Np O
2 2 2 12
Direct
0.000 0.000 0.000
0.000 0.000 0.500
0.333 0.667 0.250
0.667 0.333 0.750
0.667 0.333 0.250
0.333 0.667 0.750
0.647 0.657 0.136
0.010 0.353 0.136
0.353 0.010 0.636
0.990 0.647 0.864
0.343 0.353 0.364
0.010 0.657 0.364
0.657 0.010 0.864
0.647 0.990 0.364
0.990 0.343 0.636
0.343 0.990 0.136
0.657 0.647 0.636
0.353 0.343 0.864
```



The following is a PBE-GGA calculation of an optimized crystal structure of Rb2HfNp3O12, from Alexandria via LeMat-Bulk.

Calculated values
- symmetry = R-3m, No. 166
- theoretical density (g/cm³) = 6.27
- V (Å³/f.u.) = 331.7
- raw formation energy (eV per atom) = -2.793

The structure in POSCAR format:
```
Rb2HfNp3O12
1.0
-2.265 -4.693 5.621
-2.788 -6.873 -1.933
4.276 -6.184 1.489
Rb Hf Np O
2 1 3 12
Direct
0.627 0.627 0.627
0.373 0.373 0.373
0.000 0.000 0.000
0.500 0.000 0.000
0.000 0.500 0.000
0.000 0.000 0.500
0.319 0.319 0.934
0.936 0.936 0.316
0.316 0.936 0.936
0.934 0.319 0.319
0.936 0.316 0.936
0.319 0.934 0.319
0.681 0.681 0.066
0.064 0.064 0.684
0.684 0.064 0.064
0.066 0.681 0.681
0.064 0.684 0.064
0.681 0.066 0.681
```



The following is a PBE-GGA calculation of an optimized crystal structure of RbHf2NpO8, from Alexandria via LeMat-Bulk.

Calculated values
- symmetry = C2/m, No. 12
- theoretical density (g/cm³) = 6.32
- V (Å³/f.u.) = 212.1
- raw formation energy (eV per atom) = -2.813

The structure in POSCAR format:
```
RbHf2NpO8
1.0
5.388 0.722 0.538
0.773 5.382 0.533
0.774 0.775 7.595
Rb Hf Np O
1 2 1 8
Direct
0.000 0.000 0.500
0.453 0.453 0.710
0.547 0.547 0.290
0.000 0.000 0.000
0.238 0.782 0.189
0.774 0.775 0.088
0.782 0.238 0.189
0.762 0.218 0.811
0.226 0.225 0.912
0.218 0.762 0.811
0.647 0.648 0.493
0.353 0.352 0.507
```



The following is a PBE-GGA calculation of an optimized crystal structure of HfNpSi2O8, from Alexandria via LeMat-Bulk.

Calculated values
- symmetry = I-4m2, No. 119
- theoretical density (g/cm³) = 6.98
- V (Å³/f.u.) = 142.7
- raw formation energy (eV per atom) = -2.988

The structure in POSCAR format:
```
HfNpSi2O8
1.0
5.717 0.054 0.000
-2.487 5.148 0.000
-1.615 -2.601 4.828
Hf Np Si O
1 1 2 8
Direct
0.250 0.750 0.500
0.000 0.000 0.000
0.750 0.250 0.500
0.500 0.500 0.000
0.391 0.066 0.325
0.332 0.521 0.189
0.332 0.143 0.811
0.742 0.066 0.675
0.857 0.668 0.189
0.934 0.258 0.325
0.934 0.609 0.675
0.479 0.668 0.811
```